LaSb2Te: relaxed, PBE-GGA.

a b c (Å): 7.836 7.836 7.836
angles (deg): 90.00 90.00 90.00
Space group F-43m (No. 216)
Asymmetric unit:
La (0.000, 0.000, 0.000) [4 per cell]
Sb (0.000, 0.000, 0.500) [4 per cell]
Sb (0.250, 0.250, 0.750) [4 per cell]
Te (0.250, 0.250, 0.250) [4 per cell]

Raw total energy in eV/atom: -4.54
Size of the total moment in μB per formula unit: 0.00



CdTcCl2: relaxed, PBE-GGA.

a b c (Å): 3.179 3.179 9.309
angles (deg): 90.00 90.00 90.00
Space group P4/mmm (No. 123)
Asymmetric unit:
Cd (0.000, 0.000, 0.000) [1 per cell]
Tc (0.000, 0.000, 0.500) [1 per cell]
Cl (0.500, 0.500, 0.330) [2 per cell]

Excess energy over the best structure of this formula in the dataset in meV/atom: 431
Raw total energy in eV/atom: -3.52
Size of the total moment in μB per formula unit: 3.54



SmCd4Pt2: relaxed, PBE-GGA.

a b c (Å): 4.333 18.078 3.904
angles (deg): 90.00 90.00 90.00
Space group Cmmm (No. 65)
Asymmetric unit:
Sm (0.000, 0.000, 0.000) [2 per cell]
Cd (0.000, 0.171, 0.500) [4 per cell]
Cd (0.000, 0.313, 0.000) [4 per cell]
Pt (0.000, 0.428, 0.500) [4 per cell]

Excess energy over the best structure of this formula in the dataset in meV/atom: 36
Raw total energy in eV/atom: -3.38
Formation energy from the elements in eV per atom: -0.46
Size of the total moment in μB per formula unit: 0.00



LaYHo4: relaxed, PBE-GGA.

a b c (Å): 9.351 9.351 9.351
angles (deg): 90.00 90.00 90.00
Space group F-43m (No. 216)
Asymmetric unit:
La (0.000, 0.000, 0.000) [4 per cell]
Y (0.250, 0.250, 0.250) [4 per cell]
Ho (0.124, 0.124, 0.624) [16 per cell]

Excess energy over the best structure of this formula in the dataset in meV/atom: 232
Raw total energy in eV/atom: -4.69
Formation energy from the elements in eV per atom: 0.26
Size of the total moment in μB per formula unit: 1.30



Bi2PdPt: relaxed, PBE-GGA.

a b c (Å): 4.1328 4.1328 19.5717
angles (deg): 90.00 90.00 120.00
Space group R3m (No. 160, hexagonal axes)
Asymmetric unit:
Bi (0.0000, 0.0000, 0.0000) [3 per cell]
Bi (0.0000, 0.0000, 0.1758) [3 per cell]
Pd (0.0000, 0.0000, 0.4288) [3 per cell]
Pt (0.0000, 0.0000, 0.5846) [3 per cell]

Raw total energy in eV/atom: -4.89
Formation energy from the elements in eV per atom: -0.15
Size of the total moment in μB per formula unit: 0.00



Ti2Pd12Au5: relaxed, PBE-GGA.

a b c (Å): 12.458 7.730 6.535
angles (deg): 90.00 91.60 90.00
Space group C2/m (No. 12)
Asymmetric unit:
Ti (0.000, 0.207, 0.000) [4 per cell]
Pd (0.049, 0.000, 0.311) [4 per cell]
Pd (0.090, 0.500, 0.891) [4 per cell]
Pd (0.123, 0.203, 0.665) [8 per cell]
Pd (0.149, 0.314, 0.242) [8 per cell]
Au (0.000, 0.500, 0.500) [2 per cell]
Au (0.193, 0.000, 0.992) [4 per cell]
Au (0.239, 0.500, 0.579) [4 per cell]

Excess energy over the best structure of this formula in the dataset in meV/atom: 17
Raw total energy in eV/atom: -5.19
Formation energy from the elements in eV per atom: -0.22
Size of the total moment in μB per formula unit: 0.00



SrFe2Re: relaxed, PBE-GGA.

a b c (Å): 7.203 4.162 6.044
angles (deg): 90.00 113.52 90.00
Space group C2/m (No. 12)
Asymmetric unit:
Sr (0.000, 0.000, 0.000) [2 per cell]
Fe (0.190, 0.000, 0.571) [4 per cell]
Re (0.000, 0.500, 0.500) [2 per cell]

Excess energy over the best structure of this formula in the dataset in meV/atom: 0
Raw total energy in eV/atom: -7.35
Formation energy from the elements in eV per atom: 0.41
Size of the total moment in μB per formula unit: 3.40



TbPmSbSe: relaxed, PBE-GGA.

a b c (Å): 4.325 4.325 6.074
angles (deg): 90.00 90.00 90.00
Space group P4/mmm (No. 123)
Asymmetric unit:
Tb (0.000, 0.000, 0.000) [1 per cell]
Pm (0.500, 0.500, 0.500) [1 per cell]
Sb (0.000, 0.000, 0.500) [1 per cell]
Se (0.500, 0.500, 0.000) [1 per cell]

Raw total energy in eV/atom: -5.71
Size of the total moment in μB per formula unit: 0.00



Rb12Te3Au5: relaxed, PBE-GGA.

a b c (Å): 20.637 20.637 20.637
angles (deg): 90.00 90.00 90.00
Space group Ia-3d (No. 230)
Asymmetric unit:
Rb (0.018, 0.070, 0.655) [96 per cell]
Te (0.000, 0.250, 0.125) [24 per cell]
Au (0.000, 0.000, 0.000) [16 per cell]
Au (0.000, 0.250, 0.375) [24 per cell]

Raw total energy in eV/atom: -2.38
Size of the total moment in μB per formula unit: 0.00



TbHo2NpN4: relaxed, PBE-GGA.

a b c (Å): 5.969 3.457 5.973
angles (deg): 90.00 109.01 90.00
Space group P2/m (No. 10)
Asymmetric unit:
Tb (0.000, 0.000, 0.000) [1 per cell]
Ho (0.500, 0.000, 0.500) [1 per cell]
Ho (0.500, 0.500, 0.000) [1 per cell]
Np (0.000, 0.500, 0.500) [1 per cell]
N (0.243, 0.500, 0.262) [2 per cell]
N (0.246, 0.000, 0.743) [2 per cell]

Raw total energy in eV/atom: -9.06
Size of the total moment in μB per formula unit: 3.06



CoCuH: relaxed, PBE-GGA.

a b c (Å): 2.5864 2.5864 4.3406
angles (deg): 90.00 90.00 120.00
Space group P3m1 (No. 156)
Asymmetric unit:
Co (0.0000, 0.0000, 0.0000) [1 per cell]
Cu (0.3333, 0.6667, 0.5223) [1 per cell]
H (0.6667, 0.3333, 0.1924) [1 per cell]

Excess energy over the best structure of this formula in the dataset in meV/atom: 39
Raw total energy in eV/atom: -4.75
Size of the total moment in μB per formula unit: 1.14



LaTm2Al9: relaxed, PBE-GGA.

a b c (Å): 5.5955 5.5955 26.3050
angles (deg): 90.00 90.00 120.00
Space group R-3m (No. 166, hexagonal axes)
Asymmetric unit:
La (0.0000, 0.0000, 0.0000) [3 per cell]
Tm (0.0000, 0.0000, 0.1417) [6 per cell]
Al (0.0000, 0.0000, 0.3356) [6 per cell]
Al (0.0000, 0.0000, 0.5000) [3 per cell]
Al (0.0074, 0.5037, 0.9155) [18 per cell]

Raw total energy in eV/atom: -4.36
Formation energy from the elements in eV per atom: -0.40
Size of the total moment in μB per formula unit: 0.00